1.
# SrCaMg2Cl8

A geometry-optimized SrCaMg2Cl8 structure (GGA-PBE, Alexandria).

abc: 6.377 6.266 8.039
angles: 90.00 90.00 89.27
Sites, in units of the cell vectors:
1 Cl 0.672 0.701 0.000
2 Mg 0.500 0.500 0.754
3 Cl 0.800 0.234 0.761
4 Cl 0.338 0.306 0.500
5 Cl 0.662 0.694 0.500
6 Mg 0.500 0.500 0.246
7 Cl 0.328 0.299 0.000
8 Cl 0.200 0.766 0.761
9 Ca 0.000 0.000 0.000
10 Cl 0.800 0.234 0.239
11 Cl 0.200 0.766 0.239
12 Sr 0.000 0.000 0.500

E_form (uncorrected) ... -2.0946 eV/atom
E_tot ... -46.78 eV/cell



2.
# CaMgTiCl2

A geometry-optimized CaMgTiCl2 structure (GGA-PBE, Alexandria).

abc: 5.082 7.449 5.082
angles: 90.00 90.00 90.00
Each line ends with the local moment (μB).
Sites, in units of the cell vectors:
1 Cl 0.500 0.000 0.000  0.01
2 Ti 0.000 0.500 0.000  2.00
3 Ca 0.000 0.000 0.000  0.02
4 Cl 0.000 0.000 0.500  0.00
5 Mg 0.500 0.500 0.500  -0.01

E_form (uncorrected) ... -0.2816 eV/atom
E_tot ... -16.59 eV/cell



3.
# CaMgTl2Cl6

A geometry-optimized CaMgTl2Cl6 structure (GGA-PBE, Alexandria).

abc: 7.400 7.317 7.349
angles: 119.86 120.87 90.00
Sites, in units of the cell vectors:
1 Tl 0.239 0.254 0.507
2 Cl 0.780 0.283 0.083
3 Cl 0.335 0.761 0.522
4 Cl 0.665 0.239 0.478
5 Cl 0.220 0.717 0.917
6 Cl 0.780 0.799 0.083
7 Mg 0.500 0.000 0.000
8 Cl 0.220 0.201 0.917
9 Tl 0.761 0.746 0.493
10 Ca 0.000 0.500 0.000

E_form (uncorrected) ... -1.6804 eV/atom
E_tot ... -36.21 eV/cell



4.
# Ca5MnCl12

A geometry-optimized Ca5MnCl12 structure (GGA-PBE, Alexandria).

abc: 7.019 7.033 13.026
angles: 89.98 89.96 60.06
Each line ends with the local moment (μB).
Sites, in units of the cell vectors:
1 Ca 0.167 0.667 0.500  0.00
2 Cl 0.687 0.313 0.105  0.03
3 Ca 0.833 0.333 0.500  0.00
4 Cl 0.833 0.666 0.611  0.00
5 Cl 0.167 0.334 0.389  0.00
6 Cl 0.312 0.000 0.105  0.03
7 Mn 0.000 0.000 0.000  4.46
8 Ca 0.333 0.333 0.000  0.00
9 Cl 0.167 0.000 0.610  0.00
10 Cl 0.499 0.334 0.611  0.00
11 Ca 0.667 0.667 0.000  0.00
12 Cl 0.501 0.666 0.389  0.00
13 Ca 0.500 0.000 0.500  0.00
14 Cl 0.313 0.687 0.895  0.03
15 Cl 0.000 0.313 0.895  0.03
16 Cl 0.000 0.687 0.105  0.03
17 Cl 0.688 0.000 0.895  0.03
18 Cl 0.833 0.000 0.390  0.00

E_form (uncorrected) ... -2.1626 eV/atom
E_tot ... -80.26 eV/cell



5.
# CaMn2Cl

A geometry-optimized CaMn2Cl structure (GGA-PBE, Alexandria).

abc: 3.310 3.310 8.873
angles: 90.00 90.00 111.66
Each line ends with the local moment (μB).
Sites, in units of the cell vectors:
1 Cl 0.500 0.500 0.750  0.08
2 Mn 0.000 0.000 0.970  4.12
3 Ca 0.500 0.500 0.250  -0.07
4 Mn 0.000 0.000 0.530  4.12

E_form (uncorrected) ... 0.2812 eV/atom
E_tot ... -21.06 eV/cell
Energy above the most stable polymorph in this dataset ... 396 meV per atom



6.
# CaMnCl3

A geometry-optimized CaMnCl3 structure (GGA-PBE, Alexandria).

abc: 5.351 5.351 5.351
angles: 90.00 90.00 90.00
Each line ends with the local moment (μB).
Sites, in units of the cell vectors:
1 Mn 0.500 0.500 0.500  4.97
2 Cl 0.000 0.500 0.000  0.06
3 Cl 0.500 0.000 0.000  0.03
4 Ca 0.000 0.000 0.000  0.00
5 Cl 0.000 0.000 0.500  0.04

E_form (uncorrected) ... -1.1258 eV/atom
E_tot ... -22.34 eV/cell
Energy above the most stable polymorph in this dataset ... 0 meV per atom



7.
# CaMn2Cl

A geometry-optimized CaMn2Cl structure (GGA-PBE, Alexandria).

abc: 5.450 5.450 5.450
angles: 131.33 131.33 71.29
Each line ends with the local moment (μB).
Sites, in units of the cell vectors:
1 Mn 0.000 0.000 0.000  4.01
2 Ca 0.500 0.500 0.000  -0.04
3 Cl 0.750 0.250 0.500  0.12
4 Mn 0.250 0.750 0.500  3.98

E_form (uncorrected) ... 0.3475 eV/atom
E_tot ... -20.80 eV/cell
Energy above the most stable polymorph in this dataset ... 462 meV per atom



8.
# CaMn2Cl

A geometry-optimized CaMn2Cl structure (GGA-PBE, Alexandria).

abc: 3.511 5.050 5.376
angles: 90.00 90.00 90.00
Each line ends with the local moment (μB).
Sites, in units of the cell vectors:
1 Mn 0.000 0.000 0.487  3.90
2 Mn 0.000 0.000 0.013  3.90
3 Ca 0.500 0.500 0.250  -0.10
4 Cl 0.500 0.500 0.750  0.07

E_form (uncorrected) ... 0.2484 eV/atom
E_tot ... -21.19 eV/cell
Energy above the most stable polymorph in this dataset ... 363 meV per atom